# Sm3Al9Ni2, optimized geometry, DFT GGA-PBE
data_Sm3Al9Ni2
_cell_length_a 4.2752
_cell_length_b 10.0029
_cell_length_c 12.3097
_cell_angle_alpha 90.00
_cell_angle_beta 90.00
_cell_angle_gamma 90.00
_symmetry_space_group_name_H-M 'I m m m'
_symmetry_Int_Tables_number 71
_symmetry_space_group_name_Hall '-I 2 2'
loop_
_atom_site_label
_atom_site_fract_x
_atom_site_fract_y
_atom_site_fract_z
_atom_site_occupancy
Sm1 0.0000 0.0000 0.0000 1
Sm2 0.0000 0.0000 0.3135 1
Al1 0.0000 0.2806 0.1198 1
Al2 0.0000 0.3642 0.3419 1
Al3 0.0000 0.5000 0.0000 1
Ni1 0.0000 0.2129 0.5000 1
# total energy = -66.6 eV per formula unit